The following is a DFT calculation (PBE with a Hubbard U) of an optimized crystal structure of FeOsO2.

Output
- Excess energy over the best structure of this formula in the dataset: 587 meV per atom
- SG: No. 225
- Raw total energy: -6.403 eV/atom

a b c (Å): 3.8767 3.8767 3.8767
angles (deg): 60.00 60.00 60.00
Closest atoms and distances in Å follow each position.
Sites, in units of the cell vectors:
Os (0.5000, 0.5000, 0.5000)  8 O 2.37
Fe (0.0000, 0.0000, 0.0000)  8 O 2.37
O (0.2500, 0.2500, 0.2500)  4 Fe 2.37, 4 Os 2.37
O (0.7500, 0.7500, 0.7500)  4 Os 2.37, 4 Fe 2.37



The following is a DFT calculation (PBE with a Hubbard U) of an optimized crystal structure of FeOsO2.

Output
- Excess energy over the best structure of this formula in the dataset: 0 meV per atom
- SG: No. 166
- Raw total energy: -6.989 eV/atom

a b c (Å): 6.3834 6.3834 6.3834
angles (deg): 24.91 24.91 24.91
Closest atoms and distances in Å follow each position.
Sites, in units of the cell vectors:
Os (0.0000, 0.0000, 0.0000)  2 O 1.97
Fe (0.5000, 0.5000, 0.5000)  6 O 1.95
O (0.8939, 0.8939, 0.8939)  3 Fe 1.95, 1 Os 1.97
O (0.1061, 0.1061, 0.1061)  3 Fe 1.95, 1 Os 1.97



The following is a DFT calculation (PBE with a Hubbard U) of an optimized crystal structure of FeOsO3.

Output
- SG: No. 221
- Raw total energy: -6.099 eV/atom

a b c (Å): 3.8115 3.8115 3.8115
angles (deg): 90.00 90.00 90.00
Closest atoms and distances in Å follow each position.
Sites, in units of the cell vectors:
Os (0.5000, 0.5000, 0.5000)  12 O 2.70
Fe (0.0000, 0.0000, 0.0000)  6 O 1.91
O (0.0000, 0.5000, 0.0000)  2 Fe 1.91
O (0.0000, 0.0000, 0.5000)  2 Fe 1.91
O (0.5000, 0.0000, 0.0000)  2 Fe 1.91



The following is a DFT calculation (PBE with a Hubbard U) of an optimized crystal structure of FeOs3O.

Output
- Excess energy over the best structure of this formula in the dataset: 0 meV per atom
- SG: No. 221
- Raw total energy: -7.864 eV/atom

a b c (Å): 4.0724 4.0724 4.0724
angles (deg): 90.00 90.00 90.00
Closest atoms and distances in Å follow each position.
Sites, in units of the cell vectors:
Os (0.0000, 0.5000, 0.0000)  2 O 2.04
Os (0.0000, 0.0000, 0.5000)  2 O 2.04
Os (0.5000, 0.0000, 0.0000)  2 O 2.04
Fe (0.5000, 0.5000, 0.5000)  12 Os 2.88
O (0.0000, 0.0000, 0.0000)  6 Os 2.04



The following is a DFT calculation (PBE with a Hubbard U) of an optimized crystal structure of FeOs3O.

Output
- Excess energy over the best structure of this formula in the dataset: 2062 meV per atom
- SG: No. 221
- Raw total energy: -5.802 eV/atom

a b c (Å): 4.3995 4.3995 4.3995
angles (deg): 90.00 90.00 90.00
Closest atoms and distances in Å follow each position.
Sites, in units of the cell vectors:
Os (0.0000, 0.5000, 0.0000)  2 Fe 2.20
Os (0.0000, 0.0000, 0.5000)  2 Fe 2.20
Os (0.5000, 0.0000, 0.0000)  2 Fe 2.20
Fe (0.0000, 0.0000, 0.0000)  6 Os 2.20
O (0.5000, 0.5000, 0.5000)  12 Os 3.11



The following is a DFT calculation (PBE with a Hubbard U) of an optimized crystal structure of FeOsO4.

Output
- SG: No. 14
- Raw total energy: -7.279 eV/atom

a b c (Å): 4.6123 5.5493 5.5545
angles (deg): 112.46 90.00 90.00
Closest atoms and distances in Å follow each position.
Sites, in units of the cell vectors:
Fe (0.0000, 0.5000, 0.5000)  6 O 2.00-2.07
Fe (0.5000, 0.0000, 0.5000)  6 O 2.00-2.07
Os (0.5000, 0.5000, 0.0000)  6 O 1.95-1.99
Os (0.0000, 0.0000, 0.0000)  6 O 1.95-1.99
O (0.2916, 0.8388, 0.1441)  2 Os 1.95-1.99, 1 Fe 2.07
O (0.2084, 0.3388, 0.1441)  2 Os 1.95-1.99, 1 Fe 2.07
O (0.6935, 0.6428, 0.3371)  1 Os 1.95, 2 Fe 2.00-2.04
O (0.1935, 0.8572, 0.6629)  1 Os 1.95, 2 Fe 2.00-2.04
O (0.8065, 0.1428, 0.3371)  1 Os 1.95, 2 Fe 2.00-2.04
O (0.3065, 0.3572, 0.6629)  1 Os 1.95, 2 Fe 2.00-2.04
O (0.7916, 0.6612, 0.8559)  2 Os 1.95-1.99, 1 Fe 2.07
O (0.7084, 0.1612, 0.8559)  2 Os 1.95-1.99, 1 Fe 2.07